(1)
Entry from Alexandria: a relaxed structure of AcYAsSe (GGA-PBE).

Values from the calculation:
Raw formation energy (eV per atom): -1.704

```
data_AcYAsSe
_cell_length_a 7.521
_cell_length_b 7.521
_cell_length_c 7.521
_cell_angle_alpha 33.17
_cell_angle_beta 33.17
_cell_angle_gamma 33.17
_symmetry_space_group_name_H-M 'P 1'
_symmetry_Int_Tables_number 1
loop_
_symmetry_equiv_pos_as_xyz
'x,y,z'
loop_
_atom_site_label
_atom_site_fract_x
_atom_site_fract_y
_atom_site_fract_z
_atom_site_occupancy
Ac1 0.000 0.000 0.000 1
Y1 0.493 0.493 0.493 1
As1 0.755 0.755 0.755 1
Se1 0.238 0.238 0.238 1
```

---

(2)
Entry from Alexandria: a relaxed structure of CaPrAgPd (GGA-PBE).

Values from the calculation:
Total DFT energy (no corrections) (eV per atom): -4.201

```
data_CaPrAgPd
_cell_length_a 5.185
_cell_length_b 5.185
_cell_length_c 5.185
_cell_angle_alpha 60.00
_cell_angle_beta 60.00
_cell_angle_gamma 60.00
_symmetry_space_group_name_H-M 'P 1'
_symmetry_Int_Tables_number 1
loop_
_symmetry_equiv_pos_as_xyz
'x,y,z'
loop_
_atom_site_label
_atom_site_fract_x
_atom_site_fract_y
_atom_site_fract_z
_atom_site_occupancy
Ca1 0.000 0.000 0.000 1
Pr1 0.500 0.500 0.500 1
Ag1 0.750 0.750 0.750 1
Pd1 0.250 0.250 0.250 1
```

---

(3)
Entry from Alexandria: a relaxed structure of BaBrCl (GGA-PBE).

Values from the calculation:
Distance to the lowest polymorph of the same formula (eV/atom): 0.3361
Raw formation energy (eV per atom): -2.058

```
data_BaBrCl
_cell_length_a 5.291
_cell_length_b 5.291
_cell_length_c 5.291
_cell_angle_alpha 60.00
_cell_angle_beta 60.00
_cell_angle_gamma 60.00
_symmetry_space_group_name_H-M 'P 1'
_symmetry_Int_Tables_number 1
loop_
_symmetry_equiv_pos_as_xyz
'x,y,z'
loop_
_atom_site_label
_atom_site_fract_x
_atom_site_fract_y
_atom_site_fract_z
_atom_site_occupancy
Ba1 0.000 0.000 0.000 1
Br1 0.500 0.500 0.500 1
Cl1 0.750 0.750 0.750 1
```

---

(4)
Entry from Alexandria: a relaxed structure of Ba6IrPd2Br (GGA-PBE).

Values from the calculation:
Raw formation energy (eV per atom): -0.575

```
data_Ba6IrPd2Br
_cell_length_a 8.949
_cell_length_b 8.949
_cell_length_c 8.949
_cell_angle_alpha 53.08
_cell_angle_beta 53.08
_cell_angle_gamma 53.08
_symmetry_space_group_name_H-M 'P 1'
_symmetry_Int_Tables_number 1
loop_
_symmetry_equiv_pos_as_xyz
'x,y,z'
loop_
_atom_site_label
_atom_site_fract_x
_atom_site_fract_y
_atom_site_fract_z
_atom_site_occupancy
Ba1 0.004 0.323 0.673 1
Ba2 0.140 0.859 0.530 1
Ba3 0.323 0.673 0.004 1
Ba4 0.530 0.140 0.859 1
Ba5 0.673 0.004 0.323 1
Ba6 0.859 0.530 0.140 1
Ir1 0.926 0.926 0.926 1
Pd1 0.252 0.252 0.252 1
Pd2 0.748 0.748 0.748 1
Br1 0.432 0.432 0.432 1
```

---

(5)
Entry from Alexandria: a relaxed structure of La5ThPb3 (GGA-PBE).

Values from the calculation:
Total DFT energy (no corrections) (eV per atom): -5.225

```
data_La5ThPb3
_cell_length_a 9.945
_cell_length_b 9.945
_cell_length_c 6.880
_cell_angle_alpha 90.00
_cell_angle_beta 90.00
_cell_angle_gamma 120.00
_symmetry_space_group_name_H-M 'P 1'
_symmetry_Int_Tables_number 1
loop_
_symmetry_equiv_pos_as_xyz
'x,y,z'
loop_
_atom_site_label
_atom_site_fract_x
_atom_site_fract_y
_atom_site_fract_z
_atom_site_occupancy
La1 0.000 0.330 0.250 1
La2 0.000 0.670 0.750 1
La3 0.330 0.000 0.250 1
La4 0.330 0.330 0.750 1
La5 0.333 0.667 0.000 1
La6 0.333 0.667 0.500 1
La7 0.667 0.333 0.000 1
La8 0.667 0.333 0.500 1
La9 0.670 0.000 0.750 1
La10 0.670 0.670 0.250 1
Th1 0.000 0.000 0.000 1
Th2 0.000 0.000 0.500 1
Pb1 0.000 0.333 0.750 1
Pb2 0.000 0.667 0.250 1
Pb3 0.333 0.000 0.750 1
Pb4 0.333 0.333 0.250 1
Pb5 0.667 0.000 0.250 1
Pb6 0.667 0.667 0.750 1
```

---

(6)
Entry from Alexandria: a relaxed structure of CuSnPd (GGA-PBE).

Values from the calculation:
Distance to the lowest polymorph of the same formula (eV/atom): 0.0443

```
data_CuSnPd
_cell_length_a 5.173
_cell_length_b 5.173
_cell_length_c 4.925
_cell_angle_alpha 117.75
_cell_angle_beta 117.75
_cell_angle_gamma 86.33
_symmetry_space_group_name_H-M 'P 1'
_symmetry_Int_Tables_number 1
loop_
_symmetry_equiv_pos_as_xyz
'x,y,z'
loop_
_atom_site_label
_atom_site_fract_x
_atom_site_fract_y
_atom_site_fract_z
_atom_site_occupancy
Cu1 0.001 0.999 0.500 1
Cu2 0.999 0.001 0.000 1
Sn1 0.246 0.553 0.652 1
Sn2 0.553 0.246 0.152 1
Pd1 0.474 0.837 0.406 1
Pd2 0.837 0.474 0.906 1
```

---

(7)
Entry from Alexandria: a relaxed structure of PmMnZn2 (GGA-PBE).

Values from the calculation:
Distance to the lowest polymorph of the same formula (eV/atom): 0.0000

```
data_PmMnZn2
_cell_length_a 5.705
_cell_length_b 5.705
_cell_length_c 5.705
_cell_angle_alpha 44.32
_cell_angle_beta 44.32
_cell_angle_gamma 44.32
_symmetry_space_group_name_H-M 'P 1'
_symmetry_Int_Tables_number 1
loop_
_symmetry_equiv_pos_as_xyz
'x,y,z'
loop_
_atom_site_label
_atom_site_fract_x
_atom_site_fract_y
_atom_site_fract_z
_atom_site_occupancy
Pm1 0.000 0.000 0.000 1
Mn1 0.500 0.500 0.500 1
Zn1 0.208 0.208 0.208 1
Zn2 0.792 0.792 0.792 1
```

---

(8)
Entry from Alexandria: a relaxed structure of NaInS2 (GGA-PBE).

Values from the calculation:
Raw formation energy (eV per atom): -0.828

```
data_NaInS2
_cell_length_a 7.684
_cell_length_b 7.684
_cell_length_c 14.024
_cell_angle_alpha 97.82
_cell_angle_beta 97.82
_cell_angle_gamma 90.01
_symmetry_space_group_name_H-M 'P 1'
_symmetry_Int_Tables_number 1
loop_
_symmetry_equiv_pos_as_xyz
'x,y,z'
loop_
_atom_site_label
_atom_site_fract_x
_atom_site_fract_y
_atom_site_fract_z
_atom_site_occupancy
Na1 0.155 0.785 0.627 1
Na2 0.215 0.845 0.873 1
Na3 0.216 0.340 0.866 1
Na4 0.340 0.216 0.366 1
Na5 0.660 0.784 0.634 1
Na6 0.784 0.660 0.134 1
Na7 0.785 0.155 0.127 1
Na8 0.845 0.215 0.373 1
In1 0.092 0.713 0.358 1
In2 0.287 0.412 0.142 1
In3 0.287 0.908 0.142 1
In4 0.412 0.287 0.642 1
In5 0.588 0.713 0.358 1
In6 0.713 0.092 0.858 1
In7 0.713 0.588 0.858 1
In8 0.908 0.287 0.642 1
S1 0.051 0.425 0.250 1
S2 0.051 0.949 0.250 1
S3 0.133 0.256 0.531 1
S4 0.256 0.133 0.031 1
S5 0.258 0.632 0.029 1
S6 0.368 0.742 0.471 1
S7 0.425 0.051 0.750 1
S8 0.425 0.575 0.750 1
S9 0.575 0.425 0.250 1
S10 0.575 0.949 0.250 1
S11 0.632 0.258 0.529 1
S12 0.742 0.368 0.971 1
S13 0.744 0.867 0.969 1
S14 0.867 0.744 0.469 1
S15 0.949 0.051 0.750 1
S16 0.949 0.575 0.750 1
```

---

(9)
Entry from Alexandria: a relaxed structure of K2TcGeO6 (GGA-PBE).

Values from the calculation:
Raw formation energy (eV per atom): -1.453

```
data_K2TcGeO6
_cell_length_a 5.497
_cell_length_b 5.497
_cell_length_c 5.497
_cell_angle_alpha 60.00
_cell_angle_beta 60.00
_cell_angle_gamma 60.00
_symmetry_space_group_name_H-M 'P 1'
_symmetry_Int_Tables_number 1
loop_
_symmetry_equiv_pos_as_xyz
'x,y,z'
loop_
_atom_site_label
_atom_site_fract_x
_atom_site_fract_y
_atom_site_fract_z
_atom_site_occupancy
K1 0.250 0.250 0.250 1
K2 0.750 0.750 0.750 1
Tc1 0.000 0.000 0.000 1
Ge1 0.500 0.500 0.500 1
O1 0.251 0.251 0.749 1
O2 0.251 0.749 0.251 1
O3 0.251 0.749 0.749 1
O4 0.749 0.251 0.251 1
O5 0.749 0.251 0.749 1
O6 0.749 0.749 0.251 1
```

---

(10)
Entry from Alexandria: a relaxed structure of PrSmHg (GGA-PBE).

Values from the calculation:
Distance to the lowest polymorph of the same formula (eV/atom): 0.0000

```
data_PrSmHg
_cell_length_a 7.010
_cell_length_b 7.010
_cell_length_c 7.010
_cell_angle_alpha 148.89
_cell_angle_beta 148.89
_cell_angle_gamma 44.58
_symmetry_space_group_name_H-M 'P 1'
_symmetry_Int_Tables_number 1
loop_
_symmetry_equiv_pos_as_xyz
'x,y,z'
loop_
_atom_site_label
_atom_site_fract_x
_atom_site_fract_y
_atom_site_fract_z
_atom_site_occupancy
Pr1 0.000 0.000 0.000 1
Sm1 0.306 0.306 0.000 1
Hg1 0.660 0.660 0.000 1
```

---

(11)
Entry from Alexandria: a relaxed structure of V2GeAu2Se4 (GGA-PBE).

Values from the calculation:
Raw formation energy (eV per atom): -0.384

```
data_V2GeAu2Se4
_cell_length_a 3.351
_cell_length_b 3.351
_cell_length_c 18.879
_cell_angle_alpha 90.00
_cell_angle_beta 90.00
_cell_angle_gamma 120.00
_symmetry_space_group_name_H-M 'P 1'
_symmetry_Int_Tables_number 1
loop_
_symmetry_equiv_pos_as_xyz
'x,y,z'
loop_
_atom_site_label
_atom_site_fract_x
_atom_site_fract_y
_atom_site_fract_z
_atom_site_occupancy
V1 0.000 0.000 0.000 1
V2 0.333 0.667 0.352 1
Ge1 0.333 0.667 0.671 1
Au1 0.000 0.000 0.572 1
Au2 0.000 0.000 0.767 1
Se1 0.000 0.000 0.269 1
Se2 0.000 0.000 0.434 1
Se3 0.333 0.667 0.084 1
Se4 0.333 0.667 0.915 1
```

---

(12)
Entry from Alexandria: a relaxed structure of Ti2Ge2F (GGA-PBE).

Values from the calculation:
Distance to the lowest polymorph of the same formula (eV/atom): 0.0000
Raw formation energy (eV per atom): -0.496

```
data_Ti2Ge2F
_cell_length_a 7.521
_cell_length_b 7.521
_cell_length_c 2.954
_cell_angle_alpha 90.00
_cell_angle_beta 90.00
_cell_angle_gamma 90.00
_symmetry_space_group_name_H-M 'P 1'
_symmetry_Int_Tables_number 1
loop_
_symmetry_equiv_pos_as_xyz
'x,y,z'
loop_
_atom_site_label
_atom_site_fract_x
_atom_site_fract_y
_atom_site_fract_z
_atom_site_occupancy
Ti1 0.180 0.320 0.000 1
Ti2 0.320 0.820 0.000 1
Ti3 0.680 0.180 0.000 1
Ti4 0.820 0.680 0.000 1
Ge1 0.120 0.620 0.500 1
Ge2 0.380 0.120 0.500 1
Ge3 0.620 0.880 0.500 1
Ge4 0.880 0.380 0.500 1
F1 0.000 0.000 0.500 1
F2 0.500 0.500 0.500 1
```

---

Fermi-level density of states across the listed records, respectively: 1.898; 3.454; 0.000; 6.599; 23.118; 1.936; 3.515; 0.000; 3.199; 3.973; 5.101; 10.758 states/eV/cell.